Record 1
An optimized crystal structure of Cu4SnGe. Source: the Alexandria database, functional PBE-GGA.

Results
* space group: F-43m, No. 216
* raw total energy: -4.072 eV/atom
* magnetic moment: 0.00 μB per cell
* offset from the most stable computed form: 94 meV per atom
* calculated formation energy: 55 kJ/mol of formula units
* calculated volume: 15.064 Å³ per atom

abc: 5.0373 5.0373 5.0373
angles: 60.00 60.00 60.00
Last column: nearest neighbours and their distance in Å.
Positions (direct):
Cu (0.1246, 0.1246, 0.1246)  6 Cu 2.51-2.53
Cu (0.1246, 0.1246, 0.6261)  6 Cu 2.51-2.53
Cu (0.1246, 0.6261, 0.1246)  6 Cu 2.51-2.53
Cu (0.6261, 0.1246, 0.1246)  6 Cu 2.51-2.53
Sn (0.5000, 0.5000, 0.5000)  12 Cu 2.95, 4 Ge 3.08
Ge (0.7500, 0.7500, 0.7500)  12 Cu 2.95, 4 Sn 3.08

***

Record 2
An optimized crystal structure of CuSn3Ge. Source: the Alexandria database, functional PBE-GGA.

Results
* space group: Pm-3m, No. 221
* raw total energy: -3.343 eV/atom
* magnetic moment: 0.00 μB per cell
* offset from the most stable computed form: 421 meV per atom
* calculated formation energy: 387 kJ/mol of formula units
* calculated volume: 29.990 Å³ per atom

abc: 5.3127 5.3127 5.3127
angles: 90.00 90.00 90.00
Last column: nearest neighbours and their distance in Å.
Positions (direct):
Cu (0.0000, 0.0000, 0.0000)  12 Sn 3.76
Sn (0.0000, 0.5000, 0.5000)  2 Ge 2.66
Sn (0.5000, 0.0000, 0.5000)  2 Ge 2.66
Sn (0.5000, 0.5000, 0.0000)  2 Ge 2.66
Ge (0.5000, 0.5000, 0.5000)  6 Sn 2.66

***

Record 3
An optimized crystal structure of Cu3SnGe. Source: the Alexandria database, functional PBE-GGA.

Results
* space group: Pm-3m, No. 221
* raw total energy: -3.320 eV/atom
* magnetic moment: 0.00 μB per cell
* offset from the most stable computed form: 449 meV per atom
* calculated formation energy: 416 kJ/mol of formula units
* calculated volume: 22.197 Å³ per atom

abc: 4.8057 4.8057 4.8057
angles: 90.00 90.00 90.00
Last column: nearest neighbours and their distance in Å.
Positions (direct):
Cu (0.0000, 0.0000, 0.5000)  2 Sn 2.40
Cu (0.0000, 0.5000, 0.0000)  2 Sn 2.40
Cu (0.5000, 0.0000, 0.0000)  2 Sn 2.40
Sn (0.0000, 0.0000, 0.0000)  6 Cu 2.40
Ge (0.5000, 0.5000, 0.5000)  12 Cu 3.40

***

Record 4
An optimized crystal structure of Sr2Cu4SnGe3. Source: the Alexandria database, functional PBE-GGA.

Results
* space group: P-4m2, No. 115
* raw total energy: -4.094 eV/atom
* magnetic moment: 0.00 μB per cell
* calculated formation energy: -322 kJ/mol of formula units
* calculated volume: 19.864 Å³ per atom

abc: 4.3670 4.3670 10.4157
angles: 90.00 90.00 90.00
Last column: nearest neighbours and their distance in Å.
Positions (direct):
Sr (0.0000, 0.5000, 0.2370)  8 Cu 3.30-3.33, 6 Ge 3.32-3.50, 2 Sn 3.50
Sr (0.5000, 0.0000, 0.7630)  8 Cu 3.30-3.33, 6 Ge 3.32-3.50, 2 Sn 3.50
Cu (0.0000, 0.0000, 0.0000)  4 Ge 2.51
Cu (0.0000, 0.5000, 0.6428)  3 Ge 2.48-2.64, 2 Sn 2.64
Cu (0.5000, 0.0000, 0.3572)  3 Ge 2.48-2.64, 2 Sn 2.64
Cu (0.5000, 0.5000, 0.0000)  4 Ge 2.51
Sn (0.0000, 0.0000, 0.5000)  4 Cu 2.64
Ge (0.0000, 0.5000, 0.8808)  5 Cu 2.48-2.51
Ge (0.5000, 0.0000, 0.1192)  5 Cu 2.48-2.51
Ge (0.5000, 0.5000, 0.5000)  4 Cu 2.64

***

Record 5
An optimized crystal structure of Sr4CuSn2Ge2. Source: the Alexandria database, functional PBE-GGA.

Results
* space group: C2/m, No. 12
* raw total energy: -3.491 eV/atom
* magnetic moment: 0.00 μB per cell
* calculated formation energy: -324 kJ/mol of formula units
* calculated volume: 29.435 Å³ per atom

abc: 7.0792 7.0792 6.0676
angles: 102.23 102.23 64.13
Last column: nearest neighbours and their distance in Å.
Positions (direct):
Sr (0.1234, 0.6325, 0.7451)  1 Cu 3.02, 2 Ge 3.37
Sr (0.3675, 0.8766, 0.2549)  1 Cu 3.02, 2 Ge 3.37
Sr (0.6325, 0.1234, 0.7451)  1 Cu 3.02, 2 Ge 3.37
Sr (0.8766, 0.3675, 0.2549)  1 Cu 3.02, 2 Ge 3.37
Cu (0.5000, 0.5000, 0.5000)  2 Ge 2.33
Sn (0.1368, 0.1368, 0.7703)  1 Ge 3.05
Sn (0.8632, 0.8632, 0.2297)  1 Ge 3.05
Ge (0.3445, 0.3445, 0.1805)  1 Cu 2.33
Ge (0.6555, 0.6555, 0.8195)  1 Cu 2.33

***

Record 6
An optimized crystal structure of Sr2Cu3SnGe4. Source: the Alexandria database, functional PBE-GGA.

Results
* space group: P-4m2, No. 115
* raw total energy: -4.127 eV/atom
* magnetic moment: 0.00 μB per cell
* calculated formation energy: -303 kJ/mol of formula units
* calculated volume: 20.585 Å³ per atom

abc: 4.3491 4.3491 10.8829
angles: 90.00 90.00 90.00
Last column: nearest neighbours and their distance in Å.
Positions (direct):
Sr (0.0000, 0.5000, 0.2362)  8 Ge 3.30-3.37, 6 Cu 3.32-3.60, 2 Sn 3.60
Sr (0.5000, 0.0000, 0.7638)  8 Ge 3.30-3.37, 6 Cu 3.32-3.60, 2 Sn 3.60
Cu (0.0000, 0.5000, 0.8793)  5 Ge 2.47-2.54
Cu (0.5000, 0.0000, 0.1207)  5 Ge 2.47-2.54
Cu (0.5000, 0.5000, 0.5000)  4 Ge 2.74
Sn (0.0000, 0.0000, 0.5000)  4 Ge 2.74
Ge (0.0000, 0.0000, 0.0000)  4 Cu 2.54
Ge (0.0000, 0.5000, 0.6528)  3 Cu 2.47-2.74, 2 Sn 2.74
Ge (0.5000, 0.0000, 0.3472)  3 Cu 2.47-2.74, 2 Sn 2.74
Ge (0.5000, 0.5000, 0.0000)  4 Cu 2.54

***

Record 7
An optimized crystal structure of CuSnGeTe3. Source: the Alexandria database, functional PBE-GGA.

Results
* space group: P2_1/m, No. 11
* raw total energy: -3.790 eV/atom
* magnetic moment: 0.00 μB per cell
* calculated volume: 28.258 Å³ per atom
* formation energy (no corrections): -99.4 meV per atom

abc: 8.8649 4.2179 9.3677
angles: 90.00 104.51 90.00
Last column: nearest neighbours and their distance in Å.
Positions (direct):
Cu (0.0727, 0.2500, 0.0440)  2 Cu 2.50, 3 Te 2.59-2.65
Cu (0.9273, 0.7500, 0.9560)  2 Cu 2.50, 3 Te 2.59-2.65
Sn (0.1709, 0.2500, 0.6895)  5 Te 3.05-3.19
Sn (0.8291, 0.7500, 0.3105)  5 Te 3.05-3.19
Ge (0.3450, 0.7500, 0.3544)  6 Te 2.91-3.01
Ge (0.6550, 0.2500, 0.6456)  6 Te 2.91-3.01
Te (0.1032, 0.2500, 0.3536)  1 Cu 2.84, 2 Ge 3.01, 3 Sn 3.05-3.17
Te (0.2365, 0.7500, 0.0251)  3 Cu 2.59-2.65
Te (0.4370, 0.7500, 0.6752)  3 Ge 2.91-2.92, 2 Sn 3.19
Te (0.5630, 0.2500, 0.3248)  3 Ge 2.91-2.92, 2 Sn 3.19
Te (0.7635, 0.2500, 0.9749)  3 Cu 2.59-2.65
Te (0.8968, 0.7500, 0.6464)  1 Cu 2.84, 2 Ge 3.01, 3 Sn 3.05-3.17

***

Record 8
An optimized crystal structure of TlCuSnGe2. Source: the Alexandria database, functional PBE-GGA.

Results
* space group: P4/mmm, No. 123
* raw total energy: -3.262 eV/atom
* magnetic moment: 0.00 μB per cell
* calculated formation energy: 327 kJ/mol of formula units
* calculated volume: 28.825 Å³ per atom

abc: 5.4543 5.4543 4.8447
angles: 90.00 90.00 90.00
Last column: nearest neighbours and their distance in Å.
Positions (direct):
Tl (0.0000, 0.0000, 0.0000)  8 Ge 3.65, 4 Cu 3.86
Cu (0.5000, 0.5000, 0.0000)  2 Sn 2.42
Sn (0.5000, 0.5000, 0.5000)  2 Cu 2.42
Ge (0.0000, 0.5000, 0.5000)  2 Sn 2.73
Ge (0.5000, 0.0000, 0.5000)  2 Sn 2.73

***

Record 9
An optimized crystal structure of Y2Cu4SnGe3. Source: the Alexandria database, functional PBE-GGA.

Results
* space group: P-4m2, No. 115
* raw total energy: -5.160 eV/atom
* magnetic moment: 0.00 μB per cell
* calculated formation energy: -427 kJ/mol of formula units
* calculated volume: 18.075 Å³ per atom

abc: 4.1519 4.1519 10.4859
angles: 90.00 90.00 90.00
Last column: nearest neighbours and their distance in Å.
Positions (direct):
Y (0.0000, 0.5000, 0.2296)  4 Ge 3.12, 8 Cu 3.18-3.20
Y (0.5000, 0.0000, 0.7704)  4 Ge 3.12, 8 Cu 3.18-3.20
Cu (0.0000, 0.0000, 0.0000)  4 Ge 2.47
Cu (0.0000, 0.5000, 0.6485)  3 Ge 2.35-2.60, 2 Sn 2.60
Cu (0.5000, 0.0000, 0.3515)  3 Ge 2.35-2.60, 2 Sn 2.60
Cu (0.5000, 0.5000, 0.0000)  4 Ge 2.47
Sn (0.0000, 0.0000, 0.5000)  4 Cu 2.60
Ge (0.0000, 0.5000, 0.8722)  5 Cu 2.35-2.47
Ge (0.5000, 0.0000, 0.1278)  5 Cu 2.35-2.47
Ge (0.5000, 0.5000, 0.5000)  4 Cu 2.60

***

Record 10
An optimized crystal structure of Sr2CuGe. Source: the Alexandria database, functional PBE-GGA.

Results
* space group: I-42d, No. 122
* raw total energy: -2.938 eV/atom
* magnetic moment: 0.00 μB per cell
* calculated formation energy: 31 kJ/mol of formula units
* calculated volume: 31.355 Å³ per atom

abc: 8.3511 8.3511 7.1934
angles: 90.00 90.00 90.00
Last column: nearest neighbours and their distance in Å.
Positions (direct):
Sr (0.2412, 0.2500, 0.1250)  2 Cu 3.04, 2 Ge 3.14
Sr (0.2500, 0.7412, 0.3750)  2 Cu 3.04, 2 Ge 3.14
Sr (0.2500, 0.7588, 0.8750)  2 Cu 3.04, 2 Ge 3.14
Sr (0.2588, 0.2500, 0.6250)  2 Cu 3.04, 2 Ge 3.14
Sr (0.7412, 0.7500, 0.6250)  2 Cu 3.04, 2 Ge 3.14
Sr (0.7500, 0.2412, 0.8750)  2 Cu 3.04, 2 Ge 3.14
Sr (0.7500, 0.2588, 0.3750)  2 Cu 3.04, 2 Ge 3.14
Sr (0.7588, 0.7500, 0.1250)  2 Cu 3.04, 2 Ge 3.14
Cu (0.0000, 0.0000, 0.0000)  4 Sr 3.04
Cu (0.0000, 0.5000, 0.2500)  4 Sr 3.04
Cu (0.5000, 0.0000, 0.7500)  4 Sr 3.04
Cu (0.5000, 0.5000, 0.5000)  4 Sr 3.04
Ge (0.0000, 0.0000, 0.5000)  4 Sr 3.14
Ge (0.0000, 0.5000, 0.7500)  4 Sr 3.14
Ge (0.5000, 0.0000, 0.2500)  4 Sr 3.14
Ge (0.5000, 0.5000, 0.0000)  4 Sr 3.14

***

Record 11
An optimized crystal structure of SrCuGe3. Source: the Alexandria database, functional PBE-GGA.

Results
* space group: Pm-3m, No. 221
* raw total energy: -3.892 eV/atom
* magnetic moment: 0.00 μB per cell
* calculated formation energy: 16 kJ/mol of formula units
* calculated volume: 23.010 Å³ per atom

abc: 4.8636 4.8636 4.8636
angles: 90.00 90.00 90.00
Last column: nearest neighbours and their distance in Å.
Positions (direct):
Sr (0.0000, 0.0000, 0.0000)  12 Ge 3.44
Cu (0.5000, 0.5000, 0.5000)  6 Ge 2.43
Ge (0.0000, 0.5000, 0.5000)  2 Cu 2.43
Ge (0.5000, 0.0000, 0.5000)  2 Cu 2.43
Ge (0.5000, 0.5000, 0.0000)  2 Cu 2.43

***

Record 12
An optimized crystal structure of Sr3CuGe. Source: the Alexandria database, functional PBE-GGA.

Results
* space group: Pm-3m, No. 221
* raw total energy: -2.698 eV/atom
* magnetic moment: 0.00 μB per cell
* offset from the most stable computed form: 0 meV per atom
* calculated formation energy: 26 kJ/mol of formula units
* calculated volume: 44.139 Å³ per atom

abc: 6.0432 6.0432 6.0432
angles: 90.00 90.00 90.00
Last column: nearest neighbours and their distance in Å.
Positions (direct):
Sr (0.0000, 0.0000, 0.5000)  2 Ge 3.02
Sr (0.0000, 0.5000, 0.0000)  2 Ge 3.02
Sr (0.5000, 0.0000, 0.0000)  2 Ge 3.02
Cu (0.5000, 0.5000, 0.5000)  12 Sr 4.27
Ge (0.0000, 0.0000, 0.0000)  6 Sr 3.02

***

Record 13
An optimized crystal structure of SrCu3Ge3. Source: the Alexandria database, functional PBE-GGA.

Results
* space group: R-3, No. 148
* raw total energy: -4.012 eV/atom
* magnetic moment: 0.00 μB per cell
* offset from the most stable computed form: 0 meV per atom
* calculated formation energy: -25 kJ/mol of formula units
* calculated volume: 20.343 Å³ per atom

abc: 8.2578 8.2578 8.2578
angles: 47.99 47.99 47.99
Last column: nearest neighbours and their distance in Å.
Positions (direct):
Sr (0.1743, 0.1743, 0.1743)  6 Cu 3.15-3.52, 3 Ge 3.22
Sr (0.8257, 0.8257, 0.8257)  6 Cu 3.15-3.52, 3 Ge 3.22
Cu (0.0148, 0.8404, 0.2883)  4 Ge 2.41-2.69, 4 Cu 2.58-2.63
Cu (0.1596, 0.7117, 0.9852)  4 Ge 2.41-2.69, 4 Cu 2.58-2.63
Cu (0.2883, 0.0148, 0.8404)  4 Ge 2.41-2.69, 4 Cu 2.58-2.63
Cu (0.7117, 0.9852, 0.1596)  4 Ge 2.41-2.69, 4 Cu 2.58-2.63
Cu (0.8404, 0.2883, 0.0148)  4 Ge 2.41-2.69, 4 Cu 2.58-2.63
Cu (0.9852, 0.1596, 0.7117)  4 Ge 2.41-2.69, 4 Cu 2.58-2.63
Ge (0.1164, 0.4567, 0.6001)  4 Cu 2.41-2.69
Ge (0.3999, 0.8836, 0.5433)  4 Cu 2.41-2.69
Ge (0.4567, 0.6001, 0.1164)  4 Cu 2.41-2.69
Ge (0.5433, 0.3999, 0.8836)  4 Cu 2.41-2.69
Ge (0.6001, 0.1164, 0.4567)  4 Cu 2.41-2.69
Ge (0.8836, 0.5433, 0.3999)  4 Cu 2.41-2.69